# Ba4SrCa5, optimized geometry, DFT GGA-PBE
# theoretical density = 2.543 Mg/m³
# ΔE to the lowest computed polymorph = 0.1100 eV/atom
# magnetic moment = 0.00 μB per cell
data_Ba4SrCa5
_symmetry_space_group_name_H-M 'P 1'
_symmetry_Int_Tables_number 1
_symmetry_space_group_name_Hall 'P 1'
_cell_length_a 9.523
_cell_length_b 9.523
_cell_length_c 9.523
_cell_angle_alpha 97.67
_cell_angle_beta 97.67
_cell_angle_gamma 137.13
loop_
_atom_site_label
_atom_site_type_symbol
_atom_site_fract_x
_atom_site_fract_y
_atom_site_fract_z
Ba1 Ba 0.000 0.308 0.308
Ba2 Ba 0.000 0.692 0.692
Ba3 Ba 0.308 0.000 0.308
Ba4 Ba 0.692 0.000 0.692
Sr1 Sr 0.763 0.763 0.000
Ca1 Ca 0.249 0.249 0.000
Ca2 Ca 0.307 0.307 0.633
Ca3 Ca 0.307 0.675 0.000
Ca4 Ca 0.675 0.307 0.000
Ca5 Ca 0.675 0.675 0.367

=====

# La2Sm3Dy8, optimized geometry, DFT GGA-PBE
# theoretical density = 7.472 Mg/m³
# ΔE to the lowest computed polymorph = 0.0181 eV/atom
# magnetic moment = 0.00 μB per cell
data_La2Sm3Dy8
_symmetry_space_group_name_H-M 'P 1'
_symmetry_Int_Tables_number 1
_symmetry_space_group_name_Hall 'P 1'
_cell_length_a 11.208
_cell_length_b 11.208
_cell_length_c 5.563
_cell_angle_alpha 90.03
_cell_angle_beta 90.03
_cell_angle_gamma 40.19
loop_
_atom_site_label
_atom_site_type_symbol
_atom_site_fract_x
_atom_site_fract_y
_atom_site_fract_z
La1 La 0.241 0.241 0.499
La2 La 0.759 0.759 0.501
Sm1 Sm 0.000 0.000 0.500
Sm2 Sm 0.293 0.707 0.000
Sm3 Sm 0.707 0.293 0.000
Dy1 Dy 0.126 0.126 0.000
Dy2 Dy 0.182 0.606 0.500
Dy3 Dy 0.340 0.340 0.999
Dy4 Dy 0.394 0.818 0.500
Dy5 Dy 0.606 0.182 0.500
Dy6 Dy 0.660 0.660 0.001
Dy7 Dy 0.818 0.394 0.500
Dy8 Dy 0.874 0.874 0.000

=====

# VCrSn, optimized geometry, DFT GGA-PBE
# E_tot = -7.478 eV per atom
# theoretical density = 8.043 Mg/m³
# magnetic moment = 0.00 μB per cell
data_VCrSn
_symmetry_space_group_name_H-M 'P 1'
_symmetry_Int_Tables_number 1
_symmetry_space_group_name_Hall 'P 1'
_cell_length_a 4.540
_cell_length_b 4.504
_cell_length_c 5.000
_cell_angle_alpha 90.00
_cell_angle_beta 116.46
_cell_angle_gamma 90.00
loop_
_atom_site_label
_atom_site_type_symbol
_atom_site_fract_x
_atom_site_fract_y
_atom_site_fract_z
V1 V 0.182 0.000 0.368
V2 V 0.818 0.000 0.632
Cr1 Cr 0.324 0.500 0.623
Cr2 Cr 0.676 0.500 0.377
Sn1 Sn 0.000 0.500 0.000
Sn2 Sn 0.500 0.000 0.000